RbTc2AsBr | PBE | relaxed

Results
Its energy relative to the elements, uncorrected is 0.635 eV per atom.

Geometry as POSCAR:
```
RbTc2AsBr
1.0
4.7313 0.0000 0.0000
0.0000 7.2605 0.0000
0.0000 0.0000 4.7313
As Br Tc Rb
1 1 2 1
Direct
0.0000 0.0000 0.0000
0.0000 0.5000 0.0000
0.0000 0.0000 0.5000
0.5000 0.0000 0.0000
0.5000 0.5000 0.5000
```


SrLaAl | PBE | relaxed

Results
The formation energy comes out at 0.6060 eV per atom. The value obtained for the energy above the lowest structure with this stoichiometry is 0.812 eV/atom.

Geometry as POSCAR:
```
SrLaAl
1.0
4.7857 -2.7630 0.0000
0.0000 5.5260 0.0000
0.0000 0.0000 11.8956
Sr Al La
2 2 2
Direct
0.3333 0.6667 0.2500
0.6667 0.3333 0.7500
0.0000 0.0000 0.2500
0.0000 0.0000 0.7500
0.0000 0.0000 0.0000
0.0000 0.0000 0.5000
```


Sm2PuPaRu2 | PBE | relaxed

Results
The formation energy comes out at -0.1957 eV per atom.

Geometry as POSCAR:
```
Sm2PuPaRu2
1.0
-1.2068 -4.7413 5.3945
-2.0805 -4.8873 -4.7609
7.3920 2.8211 -0.7827
Sm Pu Pa Ru
4 2 2 4
Direct
0.4038 0.1961 0.3922
0.5962 0.8039 0.6078
0.0117 0.3039 0.6078
0.9883 0.6961 0.3922
0.0000 0.7500 0.0000
0.0000 0.2500 0.0000
0.5000 0.7500 0.0000
0.5000 0.2500 0.0000
0.8046 0.0651 0.1302
0.3256 0.5651 0.1302
0.6744 0.4349 0.8698
0.1954 0.9349 0.8698
```


Per-record M_tot, μB/atom: 1.0048, 0.0000, 0.9632